No. 1
## Pm2ZnF8 (GGA-PBE)

Data for crystalline Pm2ZnF8 at its relaxed geometry.

The structure in POSCAR format:
```
Pm2ZnF8
1.0
4.592 -0.635 -0.528
-0.736 6.105 0.286
-0.736 1.397 5.950
Pm Zn F
2 1 8
Direct
0.622 0.324 0.324
0.378 0.676 0.676
0.000 0.000 0.000
0.728 0.046 0.664
0.272 0.336 0.954
0.769 0.132 0.132
0.231 0.868 0.868
0.728 0.664 0.046
0.272 0.954 0.336
0.197 0.420 0.420
0.803 0.580 0.580
```

Properties
The calculation puts the formation energy (no corrections) at -3.60 eV/atom. Its space group is C2/m, No. 12.

=====

No. 2
## TbCe4Gd (GGA-PBE)

Data for crystalline TbCe4Gd at its relaxed geometry.

The structure in POSCAR format:
```
TbCe4Gd
1.0
6.324 0.000 0.000
3.162 5.477 0.000
3.162 1.826 5.163
Gd Tb Ce
1 1 4
Direct
0.000 0.000 0.000
0.250 0.250 0.250
0.623 0.623 0.131
0.623 0.131 0.623
0.623 0.623 0.623
0.131 0.623 0.623
```

Properties
Its formation energy is 203.0 meV per atom. Its space group is F-43m, No. 216.

=====

No. 3
## SmHfW4 (GGA-PBE)

Data for crystalline SmHfW4 at its relaxed geometry.

The structure in POSCAR format:
```
SmHfW4
1.0
-2.283 -4.954 -0.623
0.468 -2.657 -4.782
3.179 -4.462 -0.362
Hf Sm W
1 1 4
Direct
0.000 0.000 0.000
0.250 0.250 0.250
0.625 0.625 0.125
0.625 0.125 0.625
0.625 0.625 0.625
0.125 0.625 0.625
```

Properties
Its formation energy is 97.8 meV per atom. Its space group is F-43m, No. 216.

=====

No. 4
## CeYTlIr (GGA-PBE)

Data for crystalline CeYTlIr at its relaxed geometry.

The structure in POSCAR format:
```
CeYTlIr
1.0
-1.875 -4.494 -1.729
0.589 -4.297 2.809
-4.087 -2.155 2.313
Y Tl Ir Ce
1 1 1 1
Direct
0.750 0.750 0.750
0.500 0.500 0.500
0.000 0.000 0.000
0.250 0.250 0.250
```

Properties
Its formation energy is -368.8 meV per atom. Its space group is F-43m, No. 216. The energy above the most stable polymorph in this dataset comes out at 140 meV/atom.

=====

No. 5
## ThCdCuPd (GGA-PBE)

Data for crystalline ThCdCuPd at its relaxed geometry.

The structure in POSCAR format:
```
ThCdCuPd
1.0
-4.729 0.245 1.227
-1.473 -1.577 4.390
-1.487 3.209 3.379
Cu Pd Th Cd
1 1 1 1
Direct
0.000 0.000 0.000
0.500 0.500 0.500
0.250 0.250 0.250
0.750 0.750 0.750
```

Properties
Its formation energy is -382.7 meV per atom. Its space group is F-43m, No. 216.

=====

No. 6
## Ba3Ca12Ac (GGA-PBE)

Data for crystalline Ba3Ca12Ac at its relaxed geometry.

The structure in POSCAR format:
```
Ba3Ca12Ac
1.0
-4.756 2.155 -2.543
-3.094 -1.208 4.764
4.668 19.805 8.051
Ba Ca Ac
3 12 1
Direct
0.000 0.000 0.242
0.000 0.000 0.500
0.000 0.000 0.758
0.500 0.500 0.000
0.500 0.500 0.244
0.500 0.500 0.500
0.500 0.500 0.756
0.500 0.000 0.116
0.500 0.000 0.371
0.500 0.000 0.629
0.500 0.000 0.884
0.000 0.500 0.116
0.000 0.500 0.371
0.000 0.500 0.629
0.000 0.500 0.884
0.000 0.000 0.000
```

Properties
Its formation energy is 40.1 meV per atom. Its space group is P4/mmm, No. 123.

=====

No. 7
## KGdSn2 (GGA-PBE)

Data for crystalline KGdSn2 at its relaxed geometry.

The structure in POSCAR format:
```
KGdSn2
1.0
-3.809 1.277 -0.921
-1.237 -0.933 3.819
1.857 7.251 2.373
K Gd Sn
1 1 2
Direct
0.500 0.500 0.500
0.500 0.500 0.000
0.000 0.000 0.813
0.000 0.000 0.187
```

Properties
Its formation energy is -422.5 meV per atom. Its space group is P4/mmm, No. 123.

=====

No. 8
## EuCdCuSn (GGA-PBE)

Data for crystalline EuCdCuSn at its relaxed geometry.

The structure in POSCAR format:
```
EuCdCuSn
1.0
-2.496 4.380 -0.430
-4.338 0.195 -2.597
-4.382 0.665 2.441
Eu Sn Cu Cd
1 1 1 1
Direct
0.250 0.250 0.250
0.750 0.750 0.750
0.500 0.500 0.500
0.000 0.000 0.000
```

Properties
Its formation energy is -228.5 meV per atom. Its space group is F-43m, No. 216.

=====

No. 9
## BaTl3Rh2 (GGA-PBE)

Data for crystalline BaTl3Rh2 at its relaxed geometry.

The structure in POSCAR format:
```
BaTl3Rh2
1.0
-4.150 -0.987 -1.630
5.492 -5.871 -4.031
-2.623 -2.336 8.095
Ba Tl Rh
2 6 4
Direct
0.858 0.715 0.908
0.142 0.285 0.092
0.325 0.651 0.570
0.982 0.963 0.659
0.634 0.268 0.762
0.366 0.732 0.238
0.018 0.037 0.341
0.675 0.349 0.430
0.494 0.987 0.852
0.506 0.013 0.148
0.824 0.647 0.372
0.176 0.353 0.628
```

Properties
Its formation energy is -99.3 meV per atom. Its space group is C2/m, No. 12.

=====

No. 10
## Ac2LaSi2 (GGA-PBE)

Data for crystalline Ac2LaSi2 at its relaxed geometry.

The structure in POSCAR format:
```
Ac2LaSi2
1.0
4.593 0.000 0.000
2.296 6.585 0.114
2.296 1.170 10.250
Ac La Si
4 2 4
Direct
0.321 0.270 0.088
0.485 0.339 0.690
0.679 0.730 0.912
0.515 0.661 0.310
0.774 0.084 0.367
0.226 0.916 0.633
0.995 0.113 0.897
0.104 0.343 0.450
0.005 0.887 0.103
0.896 0.657 0.550
```

Properties
The calculation puts the formation energy (no corrections) at -0.52 eV/atom. Its space group is C2/m, No. 12. The energy above the most stable polymorph in this dataset comes out at 27 meV/atom.

=====

No. 11
## Pm2Nd7Ni2 (GGA-PBE)

Data for crystalline Pm2Nd7Ni2 at its relaxed geometry.

The structure in POSCAR format:
```
Pm2Nd7Ni2
1.0
6.414 0.007 1.675
1.557 7.195 0.852
-0.147 -0.108 7.409
Pm Nd Ni
2 7 2
Direct
0.500 0.828 0.172
0.500 0.172 0.828
0.794 0.858 0.488
0.206 0.512 0.142
0.206 0.142 0.512
0.794 0.488 0.858
0.000 0.000 0.000
0.726 0.371 0.371
0.274 0.629 0.629
0.445 0.820 0.820
0.555 0.180 0.180
```

Properties
Its formation energy is -23.2 meV per atom. Its space group is C2/m, No. 12.

=====

No. 12
## DyHoAu (GGA-PBE)

Data for crystalline DyHoAu at its relaxed geometry.

The structure in POSCAR format:
```
DyHoAu
1.0
4.961 0.000 0.000
2.480 4.296 0.000
2.480 1.432 4.050
Au Ho Dy
1 1 1
Direct
0.250 0.250 0.250
0.500 0.500 0.500
0.000 0.000 0.000
```

Properties
Its formation energy is -452.4 meV per atom. Its space group is F-43m, No. 216. The energy above the most stable polymorph in this dataset comes out at 190 meV/atom.

=====

| no. | total moment (μB/atom) |
| --- | --- |
| 1 | 0.00 |
| 2 | 0.49 |
| 3 | 0.00 |
| 4 | 0.15 |
| 5 | 0.00 |
| 6 | 0.03 |
| 7 | 1.75 |
| 8 | 1.74 |
| 9 | 0.00 |
| 10 | 0.00 |
| 11 | 0.00 |
| 12 | 0.00 |